# 1
Compound: AcDy4Y7
Source: Alexandria via LeMat-Bulk
Functional: PBE-GGA
Structure: relaxed

Geometry as CIF:
```
data_AcDy4Y7
_cell_length_a 12.298
_cell_length_b 6.059
_cell_length_c 12.611
_cell_angle_alpha 90.00
_cell_angle_beta 118.21
_cell_angle_gamma 90.00
_symmetry_space_group_name_H-M 'C 1 2/m 1'
_symmetry_Int_Tables_number 12
loop_
_symmetry_equiv_pos_as_xyz
'x,y,z'
'-x,-y,-z'
'-x,y,-z'
'x,-y,z'
'x+1/2,y+1/2,z'
'-x+1/2,-y+1/2,-z'
'-x+1/2,y+1/2,-z'
'x+1/2,-y+1/2,z'
loop_
_atom_site_label
_atom_site_type_symbol
_atom_site_fract_x
_atom_site_fract_y
_atom_site_fract_z
Ac1 Ac 0.000 0.000 0.000
Dy1 Dy 0.125 0.500 0.775
Dy2 Dy 0.232 0.500 0.311
Y1 Y 0.000 0.500 0.000
Y2 Y 0.045 0.000 0.355
Y3 Y 0.139 0.500 0.514
Y4 Y 0.215 0.000 0.918
```

Results
- density of states at the Fermi level (states/eV per cell) = 45.49
- E (eV per cell) = -127.908
- ΔH_f (0 K) (meV/atom) = 318
- spin magnetization (Bohr magnetons per cell) = 0.42
- calculated density (Mg/m³) = 6.01
- energy relative to the lowest polymorph listed for this composition (eV/atom) = 0.305



# 2
Compound: Mg2ZnTe
Source: Alexandria via LeMat-Bulk
Functional: PBE-GGA
Structure: relaxed

Geometry as CIF:
```
data_Mg2ZnTe
_cell_length_a 4.240
_cell_length_b 5.026
_cell_length_c 8.528
_cell_angle_alpha 90.00
_cell_angle_beta 90.00
_cell_angle_gamma 90.00
_symmetry_space_group_name_H-M 'I m m m'
_symmetry_Int_Tables_number 71
_symmetry_space_group_name_Hall '-I 2 2'
loop_
_atom_site_label
_atom_site_type_symbol
_atom_site_fract_x
_atom_site_fract_y
_atom_site_fract_z
Mg1 Mg 0.000 0.000 0.239
Zn1 Zn 0.000 0.500 0.500
Te1 Te 0.000 0.500 0.000
```

Results
- density of states at the Fermi level (states/eV per cell) = 1.69
- E (eV per cell) = -16.325
- spin magnetization (Bohr magnetons per cell) = 0.00
- calculated density (Mg/m³) = 4.42
- energy relative to the lowest polymorph listed for this composition (eV/atom) = 0.105